[1]
Nd6Cd2In, relaxed, DFT PBE; SG = Immm (71); formation energy = -0.188 eV per atom; raw total energy = -3.874 eV per atom
1.0
-5.2016 5.2117 5.3132
5.2016 -5.2117 5.3132
5.2016 5.2117 -5.3132
Nd Cd In
12 4 2
direct
0.0550 0.2328 0.8223 Nd
0.2526 0.3002 0.5528 Nd
0.2526 0.6998 0.9523 Nd
0.2654 0.5842 0.3188 Nd
0.2654 0.9467 0.6812 Nd
0.4105 0.2328 0.1777 Nd
0.5895 0.7672 0.8223 Nd
0.7346 0.0533 0.3188 Nd
0.7346 0.4158 0.6812 Nd
0.7474 0.3002 0.0477 Nd
0.7474 0.6998 0.4472 Nd
0.9450 0.7672 0.1777 Nd
0.0000 0.1381 0.1381 Cd
0.0000 0.8619 0.8619 Cd
0.3645 0.0000 0.3645 Cd
0.6355 0.0000 0.6355 Cd
0.0000 0.5000 0.5000 In
0.5000 0.5000 0.0000 In

---

[2]
DyPaAgIr, relaxed, DFT PBE; SG = F-43m (216); formation energy = -0.315 eV per atom; raw total energy = -6.768 eV per atom
1.0
0.0000 3.5297 3.5297
3.5297 0.0000 3.5297
3.5297 3.5297 0.0000
Dy Pa Ag Ir
1 1 1 1
direct
0.0000 0.0000 0.0000 Dy
0.5000 0.5000 0.5000 Pa
0.7500 0.7500 0.7500 Ag
0.2500 0.2500 0.2500 Ir

---

[3]
MnTl2Hg, relaxed, DFT PBE; SG = P4/mmm (123); formation energy = 0.331 eV per atom; raw total energy = -3.220 eV per atom
1.0
3.4471 0.0000 0.0000
0.0000 3.4471 0.0000
0.0000 0.0000 8.3067
Mn Tl Hg
1 2 1
direct
0.0000 0.0000 0.0000 Mn
0.5000 0.5000 0.2172 Tl
0.5000 0.5000 0.7828 Tl
0.0000 0.0000 0.5000 Hg

---

[4]
Nd3Ag2Pd6, relaxed, DFT PBE; SG = Im-3m (229); formation energy = -0.607 eV per atom; raw total energy = -5.258 eV per atom
1.0
-4.8870 4.8870 4.8870
4.8870 -4.8870 4.8870
4.8870 4.8870 -4.8870
Nd Ag Pd
6 4 12
direct
0.0000 0.2998 0.2998 Nd
0.0000 0.7002 0.7002 Nd
0.2998 0.0000 0.2998 Nd
0.2998 0.2998 0.0000 Nd
0.7002 0.0000 0.7002 Nd
0.7002 0.7002 0.0000 Nd
0.0000 0.0000 0.5000 Ag
0.0000 0.5000 0.0000 Ag
0.5000 0.0000 0.0000 Ag
0.5000 0.5000 0.5000 Ag
0.0000 0.3446 0.6554 Pd
0.0000 0.6554 0.3446 Pd
0.3108 0.6554 0.6554 Pd
0.3446 0.0000 0.6554 Pd
0.3446 0.3446 0.6892 Pd
0.3446 0.6554 0.0000 Pd
0.3446 0.6892 0.3446 Pd
0.6554 0.0000 0.3446 Pd
0.6554 0.3108 0.6554 Pd
0.6554 0.3446 0.0000 Pd
0.6554 0.6554 0.3108 Pd
0.6892 0.3446 0.3446 Pd

---

[5]
RbCaNb, relaxed, DFT PBE; SG = P4/nmm (129); formation energy = 1.289 eV per atom; raw total energy = -3.057 eV per atom
1.0
5.2856 0.0000 0.0000
0.0000 5.2856 0.0000
0.0000 0.0000 9.8053
Rb Ca Nb
2 2 2
direct
0.2500 0.2500 0.1432 Rb
0.7500 0.7500 0.8568 Rb
0.2500 0.7500 0.5000 Ca
0.7500 0.2500 0.5000 Ca
0.2500 0.2500 0.7104 Nb
0.7500 0.7500 0.2896 Nb

---

[6]
Tb2GaTc, relaxed, DFT PBE; SG = R-3m (166); formation energy = 0.248 eV per atom; raw total energy = -5.415 eV per atom
1.0
1.7051 0.9844 10.2089
-1.7051 0.9844 10.2089
0.0000 -1.9688 10.2089
Tb Ga Tc
2 1 1
direct
0.1004 0.1004 0.1004 Tb
0.8996 0.8996 0.8996 Tb
0.0000 0.0000 0.0000 Ga
0.5000 0.5000 0.5000 Tc

---

Number 1: mass density 6.9 g/cm³. Number 2: mass density 13.1 g/cm³. Number 3: mass density 11.2 g/cm³. Number 4: mass density 9.2 g/cm³. Number 5: mass density 2.6 g/cm³. Number 6: mass density 7.8 g/cm³.